# 1
In2Co21B6: single point on PBEsol structure, meta-GGA SCAN.

Properties
The magnetic moment comes out at 25.3 μB per formula unit. The space group is Fm-3m, No. 225. The formation energy from the elements comes out at -0.046 eV per atom.

a = 7.3752 Å, b = 7.3752 Å, c = 7.3752 Å
α = 60.00°, β = 60.00°, γ = 60.00°
Closest atoms and distances in Å follow each position.
Atoms (fractional coordinates):
1 In 0.7500 0.7500 0.7500  4 Co 2.46
2 In 0.2500 0.2500 0.2500  4 Co 2.46
3 Co 0.0000 0.0000 0.0000  12 Co 2.47
4 Co 0.6138 0.1587 0.6138  3 B 2.04
5 Co 0.6138 0.6138 0.1587  3 B 2.04
6 Co 0.6138 0.6138 0.6138  3 B 2.04
7 Co 0.1587 0.6138 0.6138  3 B 2.04
8 Co 0.3862 0.8413 0.3862  3 B 2.04
9 Co 0.3862 0.3862 0.8413  3 B 2.04
10 Co 0.3862 0.3862 0.3862  3 B 2.04
11 Co 0.8413 0.3862 0.3862  3 B 2.04
12 Co 0.6648 0.3352 0.0000  2 B 2.08
13 Co 0.0000 0.3352 0.0000  2 B 2.08
14 Co 0.0000 0.3352 0.6648  2 B 2.08
15 Co 0.0000 0.0000 0.3352  2 B 2.08
16 Co 0.6648 0.0000 0.3352  2 B 2.08
17 Co 0.0000 0.6648 0.3352  2 B 2.08
18 Co 0.0000 0.0000 0.6648  2 B 2.08
19 Co 0.0000 0.6648 0.0000  2 B 2.08
20 Co 0.6648 0.0000 0.0000  2 B 2.08
21 Co 0.3352 0.6648 0.0000  2 B 2.08
22 Co 0.3352 0.0000 0.6648  2 B 2.08
23 Co 0.3352 0.0000 0.0000  2 B 2.08
24 B 0.2750 0.2750 0.7250  8 Co 2.04-2.08
25 B 0.7250 0.2750 0.7250  8 Co 2.04-2.08
26 B 0.7250 0.2750 0.2750  8 Co 2.04-2.08
27 B 0.7250 0.7250 0.2750  8 Co 2.04-2.08
28 B 0.2750 0.7250 0.2750  8 Co 2.04-2.08
29 B 0.2750 0.7250 0.7250  8 Co 2.04-2.08



# 2
Re2NiPb: single point on PBEsol structure, meta-GGA SCAN.

Properties
The magnetic moment comes out at 0.0 μB per formula unit. The space group is Immm, No. 71. The formation energy from the elements comes out at 0.695 eV per atom.

a = 2.7896 Å, b = 4.3457 Å, c = 5.8728 Å
α = 111.71°, β = 103.74°, γ = 90.00°
Closest atoms and distances in Å follow each position.
Atoms (fractional coordinates):
1 Ni 0.0000 0.5000 0.0000  4 Pb 2.58, 4 Re 2.61, 2 Ni 2.79
2 Pb 0.5000 0.0000 0.0000  4 Ni 2.58, 2 Pb 2.79
3 Re 0.7093 0.7093 0.4187  2 Ni 2.61, 6 Re 2.72-2.79
4 Re 0.2907 0.2907 0.5813  2 Ni 2.61, 6 Re 2.72-2.79



# 3
CaMg2Au2: single point on PBEsol structure, meta-GGA SCAN.

Properties
As for the polymorph energy (0 for the lowest one): 0.000 eV/atom. The magnetic moment comes out at 0.0 μB per formula unit. The space group is I4/mmm, No. 139. The formation energy from the elements comes out at -0.809 eV per atom.

a = 4.2047 Å, b = 4.2047 Å, c = 6.8651 Å
α = 107.83°, β = 107.83°, γ = 90.00°
Closest atoms and distances in Å follow each position.
Atoms (fractional coordinates):
1 Ca 0.0000 0.0000 0.0000  8 Au 3.27
2 Au 0.3905 0.3905 0.7809  1 Au 2.71, 4 Mg 2.73
3 Au 0.6095 0.6095 0.2191  1 Au 2.71, 4 Mg 2.73
4 Mg 0.2500 0.7500 0.5000  4 Au 2.73, 4 Mg 2.97
5 Mg 0.7500 0.2500 0.5000  4 Au 2.73, 4 Mg 2.97



# 4
BaMg2TaN: single point on PBEsol structure, meta-GGA SCAN.

Properties
The magnetic moment comes out at 0.1 μB per formula unit. The formation energy from raw total energies comes out at 1.85 eV per formula unit. The space group is P4/mmm, No. 123.

a = 3.9916 Å, b = 5.3855 Å, c = 5.3855 Å
α = 90.00°, β = 90.00°, γ = 90.00°
Closest atoms and distances in Å follow each position.
Atoms (fractional coordinates):
1 Mg 0.0000 0.0000 0.5000  2 N 2.69
2 Mg 0.0000 0.5000 0.0000  2 N 2.69
3 N 0.0000 0.0000 0.0000  2 Ta 2.00
4 Ba 0.5000 0.5000 0.5000  8 Mg 3.35
5 Ta 0.5000 0.0000 0.0000  2 N 2.00



# 5
Mg2ZnSb: single point on PBEsol structure, meta-GGA SCAN.

Properties
As for the polymorph energy (0 for the lowest one): 0.000 eV/atom. The magnetic moment comes out at 0.0 μB per formula unit. The formation energy from raw total energies comes out at -0.68 eV per formula unit. The space group is Pm, No. 6.

a = 4.1295 Å, b = 4.1688 Å, c = 5.5184 Å
α = 112.70°, β = 90.00°, γ = 90.00°
Closest atoms and distances in Å follow each position.
Atoms (fractional coordinates):
1 Mg 0.0000 0.0108 0.8917  3 Sb 2.88-3.04, 4 Zn 2.96-2.97
2 Mg 0.5000 0.7287 0.3385  1 Zn 2.68, 4 Sb 2.99-3.00
3 Sb 0.0000 0.2886 0.4577  2 Zn 2.74, 7 Mg 2.88-3.04
4 Zn 0.5000 0.4719 0.8121  5 Mg 2.68-2.97, 2 Sb 2.74



# 6
MgAsW: single point on PBEsol structure, meta-GGA SCAN.

Properties
As for the polymorph energy (0 for the lowest one): 1.213 eV/atom. The magnetic moment comes out at 2.7 μB per formula unit. The space group is F-43m, No. 216. The formation energy from the elements comes out at 1.432 eV per atom.

a = 4.3289 Å, b = 4.3289 Å, c = 4.3289 Å
α = 60.00°, β = 60.00°, γ = 60.00°
Closest atoms and distances in Å follow each position.
Atoms (fractional coordinates):
1 As 0.5000 0.5000 0.5000  4 Mg 2.65
2 Mg 0.2500 0.2500 0.2500  4 W 2.65, 4 As 2.65
3 W 0.0000 0.0000 0.0000  4 Mg 2.65



# 7
AgGePb3: single point on PBEsol structure, meta-GGA SCAN.

Properties
The magnetic moment comes out at 0.0 μB per formula unit. The space group is Pm-3m, No. 221. The formation energy from the elements comes out at 0.627 eV per atom.

a = 5.3649 Å, b = 5.3649 Å, c = 5.3649 Å
α = 90.00°, β = 90.00°, γ = 90.00°
Closest atoms and distances in Å follow each position.
Atoms (fractional coordinates):
1 Pb 0.0000 0.5000 0.0000  2 Ag 2.68
2 Pb 0.0000 0.0000 0.5000  2 Ag 2.68
3 Pb 0.5000 0.0000 0.0000  2 Ag 2.68
4 Ge 0.5000 0.5000 0.5000  12 Pb 3.79
5 Ag 0.0000 0.0000 0.0000  6 Pb 2.68



# 8
ReOsPt2: single point on PBEsol structure, meta-GGA SCAN.

Properties
As for the polymorph energy (0 for the lowest one): 0.000 eV/atom. The magnetic moment comes out at 0.0 μB per formula unit. The space group is P4mm, No. 99. The formation energy from the elements comes out at -0.063 eV per atom.

a = 2.7427 Å, b = 2.7427 Å, c = 7.7945 Å
α = 90.00°, β = 90.00°, γ = 90.00°
Closest atoms and distances in Å follow each position.
Atoms (fractional coordinates):
1 Re 0.0000 0.0000 0.5101  4 Os 2.63, 4 Re 2.74, 4 Pt 2.75
2 Os 0.5000 0.5000 0.7376  4 Re 2.63, 4 Os 2.74, 4 Pt 2.78
3 Pt 0.0000 0.0000 0.9926  8 Pt 2.74-2.85, 4 Os 2.78
4 Pt 0.5000 0.5000 0.2598  8 Pt 2.74-2.85, 4 Re 2.75



# 9
YGe2Ru2: single point on PBEsol structure, meta-GGA SCAN.

Properties
The magnetic moment comes out at 0.0 μB per formula unit. The space group is I4/mmm, No. 139. The formation energy from the elements comes out at -0.802 eV per atom.

a = 4.2002 Å, b = 4.2002 Å, c = 5.7236 Å
α = 111.53°, β = 111.53°, γ = 90.00°
Closest atoms and distances in Å follow each position.
Atoms (fractional coordinates):
1 Y 0.0000 0.0000 0.0000  8 Ru 3.22, 8 Ge 3.23
2 Ru 0.2500 0.7500 0.5000  4 Ge 2.41
3 Ru 0.7500 0.2500 0.5000  4 Ge 2.41
4 Ge 0.3708 0.3708 0.7417  4 Ru 2.41, 1 Ge 2.53
5 Ge 0.6292 0.6292 0.2583  4 Ru 2.41, 1 Ge 2.53



# 10
Ta5Mo3: single point on PBEsol structure, meta-GGA SCAN.

Properties
As for the polymorph energy (0 for the lowest one): 0.048 eV/atom. The magnetic moment comes out at 0.0 μB per formula unit. The space group is Pmmm, No. 47. The formation energy from the elements comes out at -0.103 eV per atom.

a = 3.2176 Å, b = 4.4967 Å, c = 9.1875 Å
α = 90.00°, β = 90.00°, γ = 90.00°
Closest atoms and distances in Å follow each position.
Atoms (fractional coordinates):
1 Mo 0.0000 0.0000 0.7555  2 Mo 2.76, 6 Ta 2.77-2.85
2 Mo 0.5000 0.0000 0.0000  4 Mo 2.76, 4 Ta 2.76
3 Mo 0.0000 0.0000 0.2445  2 Mo 2.76, 6 Ta 2.77-2.85
4 Ta 0.5000 0.0000 0.5000  4 Ta 2.76, 4 Mo 2.85
5 Ta 0.5000 0.5000 0.7497  4 Mo 2.77, 4 Ta 2.80-2.81
6 Ta 0.0000 0.5000 0.0000  4 Mo 2.76, 4 Ta 2.81
7 Ta 0.5000 0.5000 0.2503  4 Mo 2.77, 4 Ta 2.80-2.81
8 Ta 0.0000 0.5000 0.5000  8 Ta 2.76-2.80



# 11
Sc6Al16Pd7: single point on PBEsol structure, meta-GGA SCAN.

Properties
The magnetic moment comes out at 0.0 μB per formula unit. The space group is Fm-3m, No. 225. The formation energy from the elements comes out at -0.864 eV per atom.

a = 8.7344 Å, b = 8.7344 Å, c = 8.7344 Å
α = 60.00°, β = 60.00°, γ = 60.00°
Closest atoms and distances in Å follow each position.
Atoms (fractional coordinates):
1 Sc 0.3092 0.3092 0.6908  8 Al 2.89-3.14, 4 Pd 3.17
2 Sc 0.6908 0.3092 0.6908  8 Al 2.89-3.14, 4 Pd 3.17
3 Sc 0.6908 0.3092 0.3092  8 Al 2.89-3.14, 4 Pd 3.17
4 Sc 0.6908 0.6908 0.3092  8 Al 2.89-3.14, 4 Pd 3.17
5 Sc 0.3092 0.6908 0.3092  8 Al 2.89-3.14, 4 Pd 3.17
6 Sc 0.3092 0.6908 0.6908  8 Al 2.89-3.14, 4 Pd 3.17
7 Al 0.8797 0.3609 0.8797  4 Pd 2.57-2.71, 3 Al 2.77
8 Al 0.8797 0.8797 0.3609  4 Pd 2.57-2.71, 3 Al 2.77
9 Al 0.8797 0.8797 0.8797  4 Pd 2.57-2.71, 3 Al 2.77
10 Al 0.3609 0.8797 0.8797  4 Pd 2.57-2.71, 3 Al 2.77
11 Al 0.1203 0.6391 0.1203  4 Pd 2.57-2.71, 3 Al 2.77
12 Al 0.1203 0.1203 0.6391  4 Pd 2.57-2.71, 3 Al 2.77
13 Al 0.1203 0.1203 0.1203  4 Pd 2.57-2.71, 3 Al 2.77
14 Al 0.6391 0.1203 0.1203  4 Pd 2.57-2.71, 3 Al 2.77
15 Al 0.6646 0.0061 0.6646  3 Pd 2.52, 3 Al 2.77
16 Al 0.6646 0.6646 0.0061  3 Pd 2.52, 3 Al 2.77
17 Al 0.6646 0.6646 0.6646  3 Pd 2.52, 3 Al 2.77
18 Al 0.0061 0.6646 0.6646  3 Pd 2.52, 3 Al 2.77
19 Al 0.3354 0.9939 0.3354  3 Pd 2.52, 3 Al 2.77
20 Al 0.3354 0.3354 0.9939  3 Pd 2.52, 3 Al 2.77
21 Al 0.3354 0.3354 0.3354  3 Pd 2.52, 3 Al 2.77
22 Al 0.9939 0.3354 0.3354  3 Pd 2.52, 3 Al 2.77
23 Pd 0.0000 0.0000 0.0000  8 Al 2.57
24 Pd 0.5000 0.5000 0.0000  8 Al 2.52-2.71
25 Pd 0.0000 0.5000 0.0000  8 Al 2.52-2.71
26 Pd 0.0000 0.5000 0.5000  8 Al 2.52-2.71
27 Pd 0.0000 0.0000 0.5000  8 Al 2.52-2.71
28 Pd 0.5000 0.0000 0.5000  8 Al 2.52-2.71
29 Pd 0.5000 0.0000 0.0000  8 Al 2.52-2.71



# 12
MgZn3: single point on PBEsol structure, meta-GGA SCAN.

Properties
The magnetic moment comes out at 0.0 μB per formula unit. The space group is C2/m, No. 12. The formation energy from the elements comes out at -0.017 eV per atom.

a = 2.8890 Å, b = 4.6729 Å, c = 5.0337 Å
α = 101.01°, β = 90.00°, γ = 108.01°
Closest atoms and distances in Å follow each position.
Atoms (fractional coordinates):
1 Zn 0.7436 0.4873 0.7300  7 Zn 2.67-2.89, 3 Mg 2.78-2.81
2 Zn 0.2564 0.5127 0.2700  7 Zn 2.67-2.89, 3 Mg 2.78-2.81
3 Zn 0.0000 0.0000 0.5000  8 Zn 2.67-2.89, 4 Mg 2.90
4 Mg 0.5000 0.0000 0.0000  10 Zn 2.78-2.90, 2 Mg 2.89